A plane-wave DFT calculation with PBE-GGA was carried out for an optimized crystal structure of MgCu3Re.

```
MgCu3Re
1.0
-1.811 -4.238 0.691
2.790 -1.731 -3.306
3.264 -0.871 3.210
Re Cu Mg
1 3 1
Direct
0.000 0.000 0.000
0.000 0.000 0.500
0.500 0.000 0.000
0.000 0.500 0.000
0.500 0.500 0.500
```

Results
Its volume is 20.236 A^3/atom. The calculation puts the polymorph energy (0 for the lowest one) at 0.000 eV per atom.


A plane-wave DFT calculation with PBE-GGA was carried out for an optimized crystal structure of MgCu2Re.

```
MgCu2Re
1.0
-2.688 -3.139 2.141
-0.399 -3.180 3.375
-1.851 3.085 3.537
Mg Re Cu
1 1 2
Direct
0.750 0.750 0.750
0.250 0.250 0.250
0.996 0.996 0.026
0.504 0.504 0.474
```

Results
Its volume is 14.541 A^3/atom.


A plane-wave DFT calculation with PBE-GGA was carried out for an optimized crystal structure of MgCuRe2.

```
MgCuRe2
1.0
-1.550 -2.102 0.916
-0.035 -1.556 -3.629
4.630 -2.893 1.196
Re Cu Mg
2 1 1
Direct
0.000 0.000 0.034
0.500 0.500 0.225
0.000 0.000 0.513
0.500 0.500 0.728
```

Results
Its volume is 15.269 A^3/atom.


A plane-wave DFT calculation with PBE-GGA was carried out for an optimized crystal structure of Mg2CuRe.

```
Mg2CuRe
1.0
-3.464 5.668 2.532
-3.767 -4.224 4.302
-1.762 1.005 5.319
Mg Cu Re
4 2 2
Direct
0.375 0.404 0.750
0.154 0.625 0.250
0.875 0.846 0.750
0.596 0.125 0.250
0.500 0.500 0.000
0.250 0.750 0.500
0.750 0.250 0.500
0.000 0.000 0.000
```

Results
Its volume is 16.874 A^3/atom. The calculation puts the polymorph energy (0 for the lowest one) at 0.614 eV per atom.


A plane-wave DFT calculation with PBE-GGA was carried out for an optimized crystal structure of MgCu2Re.

```
MgCu2Re
1.0
-2.242 -2.721 -1.165
-0.372 -1.191 3.497
-8.391 3.420 2.244
Cu Re Mg
4 2 2
Direct
0.639 0.125 0.250
0.375 0.361 0.750
0.111 0.625 0.250
0.875 0.889 0.750
0.750 0.250 0.500
0.000 0.000 0.000
0.500 0.500 0.000
0.250 0.750 0.500
```

Results
Its volume is 15.440 A^3/atom.


A plane-wave DFT calculation with PBE-GGA was carried out for an optimized crystal structure of Mg2CuRe.

```
Mg2CuRe
1.0
2.737 0.018 0.000
-0.661 2.656 0.000
0.000 0.000 8.885
Cu Mg Re
1 2 1
Direct
0.500 0.500 0.741
0.500 0.500 0.270
0.000 0.000 0.972
0.000 0.000 0.517
```

Results
Its volume is 16.178 A^3/atom. The calculation puts the polymorph energy (0 for the lowest one) at 0.080 eV per atom.


A plane-wave DFT calculation with PBE-GGA was carried out for an optimized crystal structure of Mg2CuRe.

```
Mg2CuRe
1.0
2.747 0.000 0.000
0.000 2.747 0.000
0.000 0.000 8.615
Cu Mg Re
1 2 1
Direct
0.500 0.500 0.739
0.500 0.500 0.272
0.000 0.000 0.967
0.000 0.000 0.521
```

Results
Its volume is 16.256 A^3/atom. The calculation puts the polymorph energy (0 for the lowest one) at 0.086 eV per atom.


A plane-wave DFT calculation with PBE-GGA was carried out for an optimized crystal structure of MgCuRe2.

```
MgCuRe2
1.0
5.311 0.023 0.034
2.696 4.576 -0.034
-3.581 -3.035 2.485
Re Cu Mg
2 1 1
Direct
0.987 0.987 0.000
0.513 0.513 0.000
0.750 0.250 0.500
0.250 0.750 0.500
```

Results
Its volume is 14.992 A^3/atom.


no.,total energy (eV for the cell shown),M_tot (μB/atom)
1,-20.212,0.160
2,-20.992,0.001
3,-29.595,0.000
4,-33.224,0.339
5,-37.597,0.000
6,-18.750,0.000
7,-18.725,0.000
8,-29.459,0.000